Material: Ca3ICl
Method: DFT, GGA-PBEsol
State: optimized geometry

The space group is Pm-3m (No. 221) and the conventional cell measures 5.458, 5.458 and 5.458 Å, with angles of 90.00, 90.00 and 90.00 degrees. Symmetry generates all atoms from Ca at (0.000, 0.000, 0.500), I at (0.500, 0.500, 0.500) and Cl at (0.000, 0.000, 0.000).

The crystal system is cubic.


Material: CaICl2
Method: DFT, GGA-PBEsol
State: optimized geometry

The space group is Fm-3m (No. 225) and the conventional cell measures 7.417, 7.417 and 7.417 Å, with angles of 90.00, 90.00 and 90.00 degrees. Symmetry generates all atoms from Ca at (0.000, 0.000, 0.000), I at (0.000, 0.000, 0.500) and Cl at (0.250, 0.250, 0.250).

The crystal system is cubic.


Material: CaTeI2Cl
Method: DFT, GGA-PBEsol
State: optimized geometry

The space group is P4/mmm (No. 123) and the conventional cell measures 5.515, 5.515 and 5.582 Å, with angles of 90.00, 90.00 and 90.00 degrees. Symmetry generates all atoms from Ca at (0.000, 0.000, 0.000), Te at (0.500, 0.500, 0.000), I at (0.000, 0.500, 0.500) and Cl at (0.500, 0.500, 0.500).

The crystal system is tetragonal.


Material: CaInCl3
Method: DFT, GGA-PBEsol
State: optimized geometry

The space group is Pm-3m (No. 221) and the conventional cell measures 5.267, 5.267 and 5.267 Å, with angles of 90.00, 90.00 and 90.00 degrees. Symmetry generates all atoms from Ca at (0.000, 0.000, 0.000), In at (0.500, 0.500, 0.500) and Cl at (0.000, 0.000, 0.500).

The crystal system is cubic.


no.,formation energy (no corrections) (eV/atom)
1,-0.565
2,-1.143
3,-0.247
4,-1.665